1.
{"formula": "BaCeTlAu", "functional": "PBE", "state": "optimized geometry", "space_group": "F-43m (216)", "formation_energy_ev_per_atom": -0.3250, "total_magnetization_mub_per_cell": 3.92, "lattice": [[7.968, 0.000, 0.000], [0.000, 7.968, 0.000], [0.000, 0.000, 7.968]], "species": ["Ba", "Ba", "Ba", "Ba", "Ce", "Ce", "Ce", "Ce", "Tl", "Tl", "Tl", "Tl", "Au", "Au", "Au", "Au"], "fractional_positions": [[0.000, 0.000, 0.000], [0.000, 0.500, 0.500], [0.500, 0.000, 0.500], [0.500, 0.500, 0.000], [0.000, 0.000, 0.500], [0.000, 0.500, 0.000], [0.500, 0.000, 0.000], [0.500, 0.500, 0.500], [0.250, 0.250, 0.250], [0.250, 0.750, 0.750], [0.750, 0.250, 0.750], [0.750, 0.750, 0.250], [0.250, 0.250, 0.750], [0.250, 0.750, 0.250], [0.750, 0.250, 0.250], [0.750, 0.750, 0.750]]}

***

2.
{"formula": "BaAuCl3", "functional": "PBE", "state": "optimized geometry", "space_group": "Pm-3m (221)", "de_polymorph_mev_per_atom": 0.0, "total_magnetization_mub_per_cell": 0.00, "lattice": [[5.266, 0.000, 0.000], [0.000, 5.266, 0.000], [0.000, 0.000, 5.266]], "species": ["Ba", "Au", "Cl", "Cl", "Cl"], "fractional_positions": [[0.000, 0.000, 0.000], [0.500, 0.500, 0.500], [0.000, 0.500, 0.500], [0.500, 0.000, 0.500], [0.500, 0.500, 0.000]]}

***

3.
{"formula": "Ba8Au2Cl", "functional": "PBE", "state": "optimized geometry", "space_group": "P-1 (2)", "total_magnetization_mub_per_cell": 1.79, "lattice": [[6.853, 0.000, 0.000], [0.000, 10.181, 0.000], [0.000, -5.080, 8.824]], "species": ["Ba", "Ba", "Ba", "Ba", "Ba", "Ba", "Ba", "Ba", "Au", "Au", "Cl"], "fractional_positions": [[0.242, 0.167, 0.333], [0.255, 0.191, 0.844], [0.255, 0.653, 0.309], [0.255, 0.656, 0.846], [0.745, 0.344, 0.154], [0.745, 0.347, 0.691], [0.745, 0.809, 0.156], [0.758, 0.833, 0.667], [0.263, 0.834, 0.666], [0.737, 0.166, 0.334], [0.000, 0.500, 0.000]]}

***

| no. | DFT total energy (eV/atom) |
| --- | --- |
| 1 | -3.70 |
| 2 | -3.39 |
| 3 | -2.62 |